No. 1
! La3Tc (PBE-GGA, optimized geometry); values from VASP
&SYSTEM
  ibrav = 0, nat = 8, ntyp = 2
/
ATOMIC_SPECIES
La 138.91 La.upf
Tc 98.00 Tc.upf
CELL_PARAMETERS angstrom
5.741 0.000 0.000
0.000 8.163 0.000
0.000 0.000 4.736
ATOMIC_POSITIONS crystal
La 0.250 0.031 0.212
La 0.250 0.469 0.212
La 0.250 0.750 0.660
La 0.750 0.250 0.340
La 0.750 0.531 0.788
La 0.750 0.969 0.788
Tc 0.250 0.250 0.648
Tc 0.750 0.750 0.352
! V, A^3/atom: 27.7
! Total magnetization, μB/atom: 0.00
! Symmetry: Pmmn (59)
! Formation energy, kcal/mol of atoms: 4.1
! DOS at the Fermi energy, states/eV/cell: 7.27

***

No. 2
! Sr2TlSb (PBE-GGA, optimized geometry); values from VASP
&SYSTEM
  ibrav = 0, nat = 4, ntyp = 3
/
ATOMIC_SPECIES
Sr 87.62 Sr.upf
Tl 204.38 Tl.upf
Sb 121.76 Sb.upf
CELL_PARAMETERS angstrom
4.798 0.000 0.000
0.000 4.798 0.000
0.000 0.000 6.769
ATOMIC_POSITIONS crystal
Sr 0.000 0.000 0.000
Sr 0.500 0.500 0.443
Tl 0.000 0.000 0.510
Sb 0.500 0.500 0.940
! V, A^3/atom: 39.0
! Energy above the most stable polymorph in this dataset, eV per formula unit: 1.04
! Total magnetization, μB/atom: 0.00
! Symmetry: P4mm (99)
! DOS at the Fermi energy, states/eV/cell: 5.54

***

No. 3
! Ce3PmSm2P6 (PBE-GGA, optimized geometry); values from VASP
&SYSTEM
  ibrav = 0, nat = 12, ntyp = 4
/
ATOMIC_SPECIES
Ce 140.12 Ce.upf
Pm 145.00 Pm.upf
Sm 150.36 Sm.upf
P 30.97 P.upf
CELL_PARAMETERS angstrom
3.551 -6.151 0.000
3.551 6.151 0.000
-2.368 0.000 6.692
ATOMIC_POSITIONS crystal
Ce 0.000 0.000 0.000
Ce 0.333 0.667 0.000
Ce 0.667 0.333 0.000
Pm 0.500 0.500 0.500
Sm 0.167 0.833 0.500
Sm 0.833 0.167 0.500
P 0.081 0.415 0.245
P 0.251 0.251 0.754
P 0.415 0.081 0.245
P 0.585 0.919 0.755
P 0.749 0.749 0.246
P 0.919 0.585 0.755
! V, A^3/atom: 24.4
! Total magnetization, μB/atom: 0.12
! Symmetry: C2/m (12)
! Formation energy, kcal/mol of atoms: -35.6
! DOS at the Fermi energy, states/eV/cell: 13.97

***

No. 4
! AcLaPr2As4 (PBE-GGA, optimized geometry); values from VASP
&SYSTEM
  ibrav = 0, nat = 8, ntyp = 4
/
ATOMIC_SPECIES
Ac 227.00 Ac.upf
La 138.91 La.upf
Pr 140.91 Pr.upf
As 74.92 As.upf
CELL_PARAMETERS angstrom
7.595 0.000 0.000
0.000 4.388 0.000
-2.527 0.000 7.170
ATOMIC_POSITIONS crystal
Ac 0.000 0.000 0.000
La 0.500 0.500 0.000
Pr 0.000 0.500 0.500
Pr 0.500 0.000 0.500
As 0.253 0.000 0.745
As 0.257 0.500 0.259
As 0.743 0.500 0.741
As 0.747 0.000 0.255
! V, A^3/atom: 29.9
! Total magnetization, μB/atom: 0.00
! Symmetry: P2/m (10)
! Formation energy, kcal/mol of atoms: -34.7
! DOS at the Fermi energy, states/eV/cell: 0.71

***

No. 5
! Ga2SnI4 (PBE-GGA, optimized geometry); values from VASP
&SYSTEM
  ibrav = 0, nat = 7, ntyp = 3
/
ATOMIC_SPECIES
Ga 69.72 Ga.upf
Sn 118.71 Sn.upf
I 126.90 I.upf
CELL_PARAMETERS angstrom
4.564 0.000 0.000
0.041 8.229 0.000
2.279 4.041 7.801
ATOMIC_POSITIONS crystal
Ga 0.238 0.254 0.028
Ga 0.762 0.746 0.972
Sn 0.500 0.500 0.500
I 0.117 0.775 0.261
I 0.370 0.679 0.756
I 0.630 0.321 0.244
I 0.883 0.225 0.739
! V, A^3/atom: 41.8
! Energy above the most stable polymorph in this dataset, eV per formula unit: 0.00
! Total magnetization, μB/atom: 0.00
! Symmetry: P-1 (2)
! DOS at the Fermi energy, states/eV/cell: 0.00

***

No. 6
! Ac2TaN3 (PBE-GGA, optimized geometry); values from VASP
&SYSTEM
  ibrav = 0, nat = 24, ntyp = 3
/
ATOMIC_SPECIES
Ac 227.00 Ac.upf
Ta 180.95 Ta.upf
N 14.01 N.upf
CELL_PARAMETERS angstrom
2.869 -5.852 0.000
2.869 5.852 0.000
-0.945 0.000 12.949
ATOMIC_POSITIONS crystal
Ac 0.018 0.415 0.357
Ac 0.120 0.343 0.925
Ac 0.343 0.120 0.425
Ac 0.415 0.018 0.857
Ac 0.585 0.982 0.143
Ac 0.657 0.880 0.575
Ac 0.880 0.657 0.075
Ac 0.982 0.585 0.643
Ta 0.291 0.296 0.174
Ta 0.296 0.291 0.674
Ta 0.704 0.709 0.326
Ta 0.709 0.704 0.826
N 0.001 0.999 0.750
N 0.126 0.456 0.122
N 0.146 0.336 0.547
N 0.336 0.146 0.047
N 0.365 0.635 0.750
N 0.456 0.126 0.622
N 0.544 0.874 0.378
N 0.635 0.365 0.250
N 0.664 0.854 0.953
N 0.854 0.664 0.453
N 0.874 0.544 0.878
N 0.999 0.001 0.250
! V, A^3/atom: 18.1
! Energy above the most stable polymorph in this dataset, eV per formula unit: 0.04
! Total magnetization, μB/atom: 0.00
! Symmetry: C2/c (15)
! DOS at the Fermi energy, states/eV/cell: 5.88

***

> Which formula does entry 2 have?

Sr2TlSb

***

> Which of these has the highest DOS at the Fermi energy?

Ce3PmSm2P6

***

> The highest V belongs to which entry?

Ga2SnI4

***

> Which value of DOS at the Fermi energy does entry 2 give?

5.54 states/eV/cell